VASP calculation (PBE-GGA) on crystalline La2SmY5Tm at its relaxed geometry.

a b c (Å): 10.065 10.065 10.065
angles (deg): 129.29 129.29 74.54
Element x y z (fractional)
La1 0.119 0.619 0.737
La2 0.381 0.119 0.500
La3 0.619 0.881 0.500
La4 0.881 0.381 0.263
Sm1 0.250 0.750 0.500
Sm2 0.750 0.250 0.500
Y1 0.000 0.000 0.000
Y2 0.072 0.144 0.500
Y3 0.144 0.644 0.072
Y4 0.356 0.428 0.500
Y5 0.428 0.928 0.072
Y6 0.500 0.500 0.000
Y7 0.572 0.072 0.928
Y8 0.644 0.572 0.500
Y9 0.856 0.356 0.928
Y10 0.928 0.856 0.500
Tm1 0.250 0.250 0.000
Tm2 0.750 0.750 0.000

Values from the calculation:
Space group: No. 140
Magnetic moment: 0.0 μB per formula unit
Total DFT energy (no corrections): -5.4628 eV/atom